(1)
First-principles (PBE) data for a relaxed ZrTi crystal, as listed in Alexandria via LeMat-Bulk.

It has space group P4/m (No. 83), with a = 10.633 Å, b = 10.633 Å, c = 2.962 Å, α = 90.00°, β = 90.00° and γ = 90.00°. The distinct sites, in fractional coordinates, are Zr at (0.052, 0.198, 0.000), Zr at (0.201, 0.679, 0.500), Ti at (0.108, 0.421, 0.500) and Ti at (0.322, 0.452, 0.000).

Its formation energy is 0.22 eV per atom.

***

(2)
First-principles (PBE) data for a relaxed ZrTi crystal, as listed in Alexandria via LeMat-Bulk.

It has space group P6_3/mmc (No. 194), with a = 4.9434 Å, b = 4.9434 Å, c = 5.2059 Å, α = 90.00°, β = 90.00° and γ = 120.00°. The distinct sites, in fractional coordinates, are Zr at (0.3333, 0.6667, 0.2500) and Ti at (0.3333, 0.6667, 0.7500).

Its formation energy is 1.49 eV per atom.

***

(3)
First-principles (PBE) data for a relaxed ZrTi crystal, as listed in Alexandria via LeMat-Bulk.

It has space group P4/nmm (No. 129, origin choice 2), with a = 2.968 Å, b = 2.968 Å, c = 9.211 Å, α = 90.00°, β = 90.00° and γ = 90.00°. The distinct sites, in fractional coordinates, are Zr at (0.250, 0.250, 0.152) and Ti at (0.250, 0.250, 0.607).

Its formation energy is 0.06 eV per atom.

***

(4)
First-principles (PBE) data for a relaxed ZrTi crystal, as listed in Alexandria via LeMat-Bulk.

It has space group C2/m (No. 12), with a = 10.171 Å, b = 3.080 Å, c = 5.263 Å, α = 90.00°, β = 100.47° and γ = 90.00°. The distinct sites, in fractional coordinates, are Zr at (0.118, 0.000, 0.362) and Ti at (0.133, 0.500, 0.887).

Its formation energy is 0.08 eV per atom.

***

(5)
First-principles (PBE) data for a relaxed ZrTi crystal, as listed in Alexandria via LeMat-Bulk.

It has space group I-43m (No. 217), with a = 8.028 Å, b = 8.028 Å, c = 8.028 Å, α = 90.00°, β = 90.00° and γ = 90.00°. The distinct sites, in fractional coordinates, are Zr at (0.212, 0.212, 0.788) and Ti at (0.114, 0.114, 0.114).

Its formation energy is 1.65 eV per atom.

***

(6)
First-principles (PBE) data for a relaxed ZrTi5 crystal, as listed in Alexandria via LeMat-Bulk.

It has space group Cmmm (No. 65), with a = 4.158 Å, b = 12.736 Å, c = 4.138 Å, α = 90.00°, β = 90.00° and γ = 90.00°. The distinct sites, in fractional coordinates, are Zr at (0.000, 0.000, 0.000), Ti at (0.000, 0.172, 0.500), Ti at (0.000, 0.327, 0.000) and Ti at (0.000, 0.500, 0.500).

Its formation energy is 0.07 eV per atom. For the relative energy among the computed polymorphs, the calculation gives 0 meV/atom.